First-principles (PBE) data for an optimized crystal structure of CrAsOs2, as listed in the Alexandria database.

Summary:
Theoretical density, g cm⁻³: 14.86
Formation energy from the elements, meV/atom: 313.2
Spin magnetization, μB per cell: 1.04
Density of states at the Fermi level, states/eV/cell: 3.258

Lattice parameters (Å, degrees): 5.1999 5.1999 5.1999 147.60 130.59 60.34
Each line ends with the local moment (μB).
Atoms (fractional coordinates):
As (0.2500, 0.7500, 0.5000)  -0.03
Cr (0.7500, 0.2500, 0.5000)  1.23
Os (0.0298, 0.0298, 0.0000)  -0.10
Os (0.4702, 0.4702, 0.0000)  -0.10